#1
The following is a DFT calculation (GGA-PBE) of a relaxed structure of ZnOsSe.

Lattice parameters (Å, degrees): 4.270 4.270 3.068 90.00 90.00 120.00
Positions (direct):
Zn: 0.000 0.000 0.000
Os: 0.667 0.333 0.500
Se: 0.333 0.667 0.500

---

#2
The following is a DFT calculation (GGA-PBE) of a relaxed structure of ZnOsSe.

Lattice parameters (Å, degrees): 2.870 5.026 14.813 90.00 90.00 90.00
Positions (direct):
Zn: 0.000 0.000 0.000
Zn: 0.000 0.500 0.500
Zn: 0.500 0.000 0.500
Zn: 0.500 0.500 0.000
Os: 0.000 0.000 0.351
Os: 0.000 0.500 0.851
Os: 0.500 0.000 0.851
Os: 0.500 0.500 0.351
Se: 0.000 0.000 0.715
Se: 0.000 0.500 0.215
Se: 0.500 0.000 0.215
Se: 0.500 0.500 0.715

---

Which structure is most stable, and how do the rest compare? From most to least stable: #1, #2.

---

#1
The following is a DFT calculation (GGA-PBE) of a relaxed structure of ZrOsSe3.

Lattice parameters (Å, degrees): 4.839 4.839 4.839 90.00 90.00 90.00
Positions (direct):
Zr: 0.000 0.000 0.000
Os: 0.500 0.500 0.500
Se: 0.000 0.500 0.500
Se: 0.500 0.000 0.500
Se: 0.500 0.500 0.000

---

#2
The following is a DFT calculation (GGA-PBE) of a relaxed structure of ZrOsSe3.

Lattice parameters (Å, degrees): 5.182 5.182 5.182 90.00 90.00 90.00
Positions (direct):
Zr: 0.000 0.000 0.000
Os: 0.500 0.500 0.500
Se: 0.000 0.000 0.500
Se: 0.000 0.500 0.000
Se: 0.500 0.000 0.000

---

Which structure is most stable, and how do the rest compare? From most to least stable: #1, #2.

---

#1
The following is a DFT calculation (GGA-PBE) of a relaxed structure of ZrOs3Se.

Lattice parameters (Å, degrees): 4.908 4.908 4.908 90.00 90.00 90.00
Positions (direct):
Zr: 0.000 0.000 0.000
Os: 0.000 0.000 0.500
Os: 0.000 0.500 0.000
Os: 0.500 0.000 0.000
Se: 0.500 0.500 0.500

---

#2
The following is a DFT calculation (GGA-PBE) of a relaxed structure of ZrOs3Se.

Lattice parameters (Å, degrees): 4.540 4.540 4.540 90.00 90.00 90.00
Positions (direct):
Zr: 0.000 0.000 0.000
Os: 0.000 0.500 0.500
Os: 0.500 0.000 0.500
Os: 0.500 0.500 0.000
Se: 0.500 0.500 0.500

---

Which structure is most stable, and how do the rest compare? From most to least stable: #2, #1.

---

#1
The following is a DFT calculation (GGA-PBE) of a relaxed structure of SiOs5.

Lattice parameters (Å, degrees): 2.803 2.803 10.588 90.00 90.00 90.00
Positions (direct):
Si: 0.000 0.000 0.000
Os: 0.000 0.000 0.322
Os: 0.000 0.000 0.678
Os: 0.500 0.500 0.143
Os: 0.500 0.500 0.500
Os: 0.500 0.500 0.857

---

#2
The following is a DFT calculation (GGA-PBE) of a relaxed structure of SiOs5.

Lattice parameters (Å, degrees): 4.962 4.962 4.652 90.00 90.00 120.00
Positions (direct):
Si: 0.000 0.000 0.000
Os: 0.000 0.500 0.500
Os: 0.333 0.667 0.000
Os: 0.500 0.000 0.500
Os: 0.500 0.500 0.500
Os: 0.667 0.333 0.000

---

#3
The following is a DFT calculation (GGA-PBE) of a relaxed structure of SiOs5.

Lattice parameters (Å, degrees): 9.933 2.774 6.467 90.00 107.23 90.00
Positions (direct):
Si: 0.000 0.000 0.000
Si: 0.500 0.500 0.000
Os: 0.130 0.500 0.701
Os: 0.175 0.500 0.331
Os: 0.263 0.000 0.046
Os: 0.353 0.000 0.672
Os: 0.449 0.500 0.375
Os: 0.630 0.000 0.701
Os: 0.675 0.000 0.331
Os: 0.763 0.500 0.046
Os: 0.853 0.500 0.672
Os: 0.949 0.000 0.375

---

#4
The following is a DFT calculation (GGA-PBE) of a relaxed structure of SiOs5.

Lattice parameters (Å, degrees): 4.731 4.731 4.357 90.00 90.00 120.00
Positions (direct):
Si: 0.000 0.000 0.000
Os: 0.000 0.667 0.500
Os: 0.333 0.333 0.500
Os: 0.333 0.667 0.000
Os: 0.667 0.000 0.500
Os: 0.667 0.333 0.000

---

Which structure is most stable, and how do the rest compare? From most to least stable: #1, #3, #4, #2.

---

#1
The following is a DFT calculation (GGA-PBE) of a relaxed structure of SiOs5.

Lattice parameters (Å, degrees): 3.821 11.713 3.808 90.00 90.00 90.00
Positions (direct):
Si: 0.000 0.000 0.000
Si: 0.500 0.500 0.000
Os: 0.000 0.168 0.500
Os: 0.000 0.326 0.000
Os: 0.000 0.500 0.500
Os: 0.000 0.674 0.000
Os: 0.000 0.832 0.500
Os: 0.500 0.000 0.500
Os: 0.500 0.174 0.000
Os: 0.500 0.332 0.500
Os: 0.500 0.668 0.500
Os: 0.500 0.826 0.000

---

#2
The following is a DFT calculation (GGA-PBE) of a relaxed structure of SiOs5.

Lattice parameters (Å, degrees): 5.100 5.100 5.100 60.00 60.00 60.00
Positions (direct):
Si: 0.000 0.000 0.000
Os: 0.375 0.375 0.375
Os: 0.375 0.375 0.874
Os: 0.375 0.874 0.375
Os: 0.750 0.750 0.750
Os: 0.874 0.375 0.375

---

Which structure is most stable, and how do the rest compare? From most to least stable: #1, #2.

---

#1
The following is a DFT calculation (GGA-PBE) of a relaxed structure of Si5Os.

Lattice parameters (Å, degrees): 2.911 2.911 10.090 90.00 90.00 90.00
Positions (direct):
Si: 0.000 0.000 0.000
Si: 0.000 0.000 0.350
Si: 0.000 0.000 0.650
Si: 0.500 0.500 0.161
Si: 0.500 0.500 0.839
Os: 0.500 0.500 0.500

---

#2
The following is a DFT calculation (GGA-PBE) of a relaxed structure of Si5Os.

Lattice parameters (Å, degrees): 11.691 2.991 6.109 90.00 120.63 90.00
Positions (direct):
Si: 0.000 0.000 0.000
Si: 0.021 0.500 0.415
Si: 0.200 0.500 0.098
Si: 0.306 0.000 0.906
Si: 0.391 0.500 0.546
Si: 0.500 0.500 0.000
Si: 0.521 0.000 0.415
Si: 0.700 0.000 0.098
Si: 0.806 0.500 0.906
Si: 0.891 0.000 0.546
Os: 0.194 0.000 0.432
Os: 0.694 0.500 0.432

---

#3
The following is a DFT calculation (GGA-PBE) of a relaxed structure of Si5Os.

Lattice parameters (Å, degrees): 4.513 4.513 4.672 90.00 90.00 120.00
Positions (direct):
Si: 0.000 0.675 0.000
Si: 0.325 0.325 0.000
Si: 0.333 0.667 0.500
Si: 0.667 0.333 0.500
Si: 0.675 0.000 0.000
Os: 0.000 0.000 0.500

---

Which structure is most stable, and how do the rest compare? From most to least stable: #2, #1, #3.